Entry 1:
# Pu2SbPd4, relaxed, DFT PBE
data_Pu2SbPd4
_chemical_formula_sum 'Pu2 Sb1 Pd4'
_cell_length_a 4.053
_cell_length_b 4.053
_cell_length_c 9.373
_cell_angle_alpha 102.49
_cell_angle_beta 102.49
_cell_angle_gamma 90.00
_symmetry_space_group_name_H-M 'P 1'
_symmetry_Int_Tables_number 1
loop_
_symmetry_equiv_pos_as_xyz
'x,y,z'
loop_
_atom_site_label
_atom_site_type_symbol
_atom_site_fract_x
_atom_site_fract_y
_atom_site_fract_z
Pd1 Pd 0.852 0.852 0.704
Sb1 Sb 0.000 0.000 0.000
Pd2 Pd 0.250 0.750 0.500
Pd3 Pd 0.148 0.148 0.296
Pu1 Pu 0.392 0.392 0.785
Pd4 Pd 0.750 0.250 0.500
Pu2 Pu 0.608 0.608 0.215
# N(E_F) = 23.2 states/eV/f.u.
# calculated volume = 147 Å³ per cell
# energy = -8.16 eV per atom
# size of the total moment = 10.403 μB per formula unit

---

Entry 2:
# ScTlAs2, relaxed, DFT PBE
data_ScTlAs2
_chemical_formula_sum 'Sc1 Tl1 As2'
_cell_length_a 5.011
_cell_length_b 5.011
_cell_length_c 5.011
_cell_angle_alpha 60.00
_cell_angle_beta 60.00
_cell_angle_gamma 60.00
_symmetry_space_group_name_H-M 'P 1'
_symmetry_Int_Tables_number 1
loop_
_symmetry_equiv_pos_as_xyz
'x,y,z'
loop_
_atom_site_label
_atom_site_type_symbol
_atom_site_fract_x
_atom_site_fract_y
_atom_site_fract_z
Sc1 Sc 0.000 0.000 0.000
As1 As 0.250 0.250 0.250
Tl1 Tl 0.500 0.500 0.500
As2 As 0.750 0.750 0.750
# N(E_F) = 2.1 states/eV/f.u.
# calculated volume = 89 Å³ per cell
# ΔE to the lowest computed polymorph = 370 meV/atom
# size of the total moment = 0.000 μB per formula unit
# ΔE_f = -14.9 kJ per mole of atoms

---

Entry 3:
# CsRbTlBi, relaxed, DFT PBE
data_CsRbTlBi
_chemical_formula_sum 'Cs1 Rb1 Tl1 Bi1'
_cell_length_a 4.897
_cell_length_b 7.171
_cell_length_c 6.461
_cell_angle_alpha 116.77
_cell_angle_beta 90.00
_cell_angle_gamma 109.96
_symmetry_space_group_name_H-M 'P 1'
_symmetry_Int_Tables_number 1
loop_
_symmetry_equiv_pos_as_xyz
'x,y,z'
loop_
_atom_site_label
_atom_site_type_symbol
_atom_site_fract_x
_atom_site_fract_y
_atom_site_fract_z
Rb1 Rb 0.836 0.672 0.211
Tl1 Tl 0.411 0.821 0.786
Cs1 Cs 0.645 0.290 0.521
Bi1 Bi 0.075 0.149 0.950
# N(E_F) = 0.6 states/eV/f.u.
# calculated volume = 187 Å³ per cell
# ΔE to the lowest computed polymorph = 0 meV/atom
# size of the total moment = 0.000 μB per formula unit
# ΔE_f = -27.4 kJ per mole of atoms

---

Entry 4:
# K3Ce2YSe6, relaxed, DFT PBE
data_K3Ce2YSe6
_chemical_formula_sum 'K3 Ce2 Y1 Se6'
_cell_length_a 7.498
_cell_length_b 7.498
_cell_length_c 8.067
_cell_angle_alpha 98.92
_cell_angle_beta 98.92
_cell_angle_gamma 120.00
_symmetry_space_group_name_H-M 'P 1'
_symmetry_Int_Tables_number 1
loop_
_symmetry_equiv_pos_as_xyz
'x,y,z'
loop_
_atom_site_label
_atom_site_type_symbol
_atom_site_fract_x
_atom_site_fract_y
_atom_site_fract_z
Se1 Se 0.744 0.744 0.208
Ce1 Ce 0.667 0.333 0.000
Se2 Se 0.605 0.931 0.792
K1 K 0.167 0.833 0.500
Se3 Se 0.931 0.605 0.792
Ce2 Ce 0.333 0.667 0.000
Se4 Se 0.395 0.069 0.208
Y1 Y 0.000 0.000 0.000
K2 K 0.500 0.500 0.500
Se5 Se 0.256 0.256 0.792
Se6 Se 0.069 0.395 0.208
K3 K 0.833 0.167 0.500
# N(E_F) = 11.8 states/eV/f.u.
# calculated volume = 373 Å³ per cell
# energy = -5.26 eV per atom
# size of the total moment = 2.008 μB per formula unit